Record 1
A relaxed ScZn2Cr crystal, computed with PBE.

Results
E above lowest polymorph ... 8.1 kJ/mol of atoms

Unit cell a=5.711 b=5.696 c=4.057 alpha=90.00 beta=90.11 gamma=90.00
Space group C2/m (No. 12)
Inequivalent atoms, fractional coordinates:
1 Sc 0.000 0.000 0.000 x2
2 Zn 0.250 0.250 0.500 x4
3 Cr 0.000 0.500 0.000 x2

Record 2
A relaxed ScZn2Cr crystal, computed with PBE.

Results
E above lowest polymorph ... 1.6 kJ/mol of atoms

Unit cell a=4.077 b=4.077 c=7.837 alpha=90.00 beta=90.00 gamma=90.00
Space group I4/mmm (No. 139)
Inequivalent atoms, fractional coordinates:
1 Sc 0.000 0.000 0.000 x2
2 Zn 0.000 0.500 0.250 x4
3 Cr 0.000 0.000 0.500 x2

Record 3
A relaxed ScZn2Cr crystal, computed with PBE.

Results
E above lowest polymorph ... 0.0 kJ/mol of atoms

Unit cell a=6.425 b=6.425 c=6.425 alpha=90.00 beta=90.00 gamma=90.00
Space group Fm-3m (No. 225)
Inequivalent atoms, fractional coordinates:
1 Sc 0.000 0.000 0.000 x4
2 Zn 0.250 0.250 0.250 x8
3 Cr 0.000 0.000 0.500 x4

Record 4
A relaxed ScZn2Cr crystal, computed with PBE.

Results
E above lowest polymorph ... 13.8 kJ/mol of atoms

Unit cell a=3.222 b=3.222 c=6.371 alpha=90.00 beta=90.00 gamma=90.00
Space group P4mm (No. 99)
Inequivalent atoms, fractional coordinates:
1 Sc 0.000 0.000 0.000 x1
2 Zn 0.000 0.000 0.521 x1
3 Zn 0.500 0.500 0.291 x1
4 Cr 0.500 0.500 0.740 x1

Record 5
A relaxed ScZn3Cr crystal, computed with PBE.

Results
E above lowest polymorph ... 59.7 kJ/mol of atoms

Unit cell a=5.117 b=5.117 c=5.117 alpha=90.00 beta=90.00 gamma=90.00
Space group Pm-3m (No. 221)
Inequivalent atoms, fractional coordinates:
1 Sc 0.000 0.000 0.000 x1
2 Zn 0.000 0.000 0.500 x3
3 Cr 0.500 0.500 0.500 x1

Record 6
A relaxed Sc2Zn2Cr crystal, computed with PBE.

Results
E above lowest polymorph ... 0.0 kJ/mol of atoms

Unit cell a=7.254 b=7.254 c=3.566 alpha=90.00 beta=90.00 gamma=90.00
Space group P4/mbm (No. 127)
Inequivalent atoms, fractional coordinates:
1 Sc 0.174 0.326 0.000 x4
2 Zn 0.126 0.626 0.500 x4
3 Cr 0.000 0.000 0.500 x2

no.,E_form (meV/atom),VASP energy (eV/cell),ρ (g/cm³)
1,0,-37.0,5.73
2,-68,-37.5,5.81
3,-85,-75.4,5.70
4,58,-18.3,5.72
5,1110,-14.2,3.63
6,-40,-50.1,4.83